Entry 1:
# PBE Ac2NpFeN5, relaxed
data_Ac2NpFeN5
_chemical_formula_sum 'Ac8 Np4 Fe4 N20'
_cell_length_a 3.565
_cell_length_b 14.678
_cell_length_c 10.743
_cell_angle_alpha 90.00
_cell_angle_beta 90.00
_cell_angle_gamma 90.00
_space_group_name_H-M_alt 'C m c 21'
_space_group_IT_number 36
loop_
_space_group_symop_operation_xyz
'x,y,z'
'-x,-y,z+1/2'
'-x,y,z'
'x,-y,z+1/2'
'x+1/2,y+1/2,z'
'-x+1/2,-y+1/2,z+1/2'
'-x+1/2,y+1/2,z'
'x+1/2,-y+1/2,z+1/2'
loop_
_atom_site_label
_atom_site_type_symbol
_atom_site_fract_x
_atom_site_fract_y
_atom_site_fract_z
_atom_site_occupancy
Ac1 Ac 0.000 0.112 0.000 1
Ac2 Ac 0.000 0.128 0.645 1
Np1 Np 0.000 0.195 0.337 1
Fe1 Fe 0.000 0.452 0.755 1
N1 N 0.000 0.039 0.315 1
N2 N 0.000 0.295 0.962 1
N3 N 0.000 0.315 0.711 1
N4 N 0.000 0.335 0.328 1
N5 N 0.000 0.497 0.101 1
# D(E_F): 4.99 states/eV/f.u.
# ΔE_f (raw): -0.864 eV per atom
# Crystal system: orthorhombic
# VASP energy: -8.780 eV per atom

Entry 2:
# PBE InBi, relaxed
data_InBi
_chemical_formula_sum 'In6 Bi6'
_cell_length_a 4.510
_cell_length_b 12.058
_cell_length_c 6.862
_cell_angle_alpha 90.00
_cell_angle_beta 90.00
_cell_angle_gamma 90.00
_space_group_name_H-M_alt 'I m m 2'
_space_group_IT_number 44
loop_
_space_group_symop_operation_xyz
'x,y,z'
'-x,-y,z'
'-x,y,z'
'x,-y,z'
'x+1/2,y+1/2,z+1/2'
'-x+1/2,-y+1/2,z+1/2'
'-x+1/2,y+1/2,z+1/2'
'x+1/2,-y+1/2,z+1/2'
loop_
_atom_site_label
_atom_site_type_symbol
_atom_site_fract_x
_atom_site_fract_y
_atom_site_fract_z
_atom_site_occupancy
In1 In 0.000 0.000 0.000 1
In2 In 0.000 0.336 0.229 1
Bi1 Bi 0.000 0.000 0.548 1
Bi2 Bi 0.000 0.353 0.702 1
# D(E_F): 1.17 states/eV/f.u.
# Crystal system: orthorhombic
# Energy of formation from the pure elements: 74 meV per atom
# VASP energy: -3.236 eV per atom

Entry 3:
# PBE TmMoOs, relaxed
data_TmMoOs
_chemical_formula_sum 'Tm4 Mo4 Os4'
_cell_length_a 4.180
_cell_length_b 4.180
_cell_length_c 14.128
_cell_angle_alpha 90.00
_cell_angle_beta 90.00
_cell_angle_gamma 90.00
_space_group_name_H-M_alt 'I 4/m m m'
_space_group_IT_number 139
_space_group_name_Hall '-I 4 2'
loop_
_atom_site_label
_atom_site_type_symbol
_atom_site_fract_x
_atom_site_fract_y
_atom_site_fract_z
_atom_site_occupancy
Tm1 Tm 0.000 0.000 0.165 1
Mo1 Mo 0.000 0.000 0.393 1
Os1 Os 0.000 0.500 0.000 1
# D(E_F): 4.12 states/eV/f.u.
# Crystal system: tetragonal
# Energy of formation from the pure elements: 318 meV per atom
# VASP energy: -8.526 eV per atom

Entry 4:
# PBE GeH, relaxed
data_GeH
_chemical_formula_sum 'Ge6 H6'
_cell_length_a 8.9206
_cell_length_b 8.9206
_cell_length_c 2.6836
_cell_angle_alpha 90.00
_cell_angle_beta 90.00
_cell_angle_gamma 120.00
_space_group_name_H-M_alt 'P 63/m'
_space_group_IT_number 176
_space_group_name_Hall '-P 6c'
loop_
_atom_site_label
_atom_site_type_symbol
_atom_site_fract_x
_atom_site_fract_y
_atom_site_fract_z
_atom_site_occupancy
Ge1 Ge 0.1952 0.7313 0.2500 1
H1 H 0.0558 0.3357 0.2500 1
# D(E_F): 0.42 states/eV/f.u.
# Crystal system: hexagonal
# VASP energy: -3.509 eV per atom

Entry 5:
# PBE Ba2ReRu, relaxed
data_Ba2ReRu
_chemical_formula_sum 'Ba2 Re1 Ru1'
_cell_length_a 4.748
_cell_length_b 4.748
_cell_length_c 4.742
_cell_angle_alpha 90.00
_cell_angle_beta 90.00
_cell_angle_gamma 90.00
_space_group_name_H-M_alt 'P 4/m m m'
_space_group_IT_number 123
_space_group_name_Hall '-P 4 2'
loop_
_atom_site_label
_atom_site_type_symbol
_atom_site_fract_x
_atom_site_fract_y
_atom_site_fract_z
_atom_site_occupancy
Ba1 Ba 0.000 0.500 0.000 1
Re1 Re 0.000 0.000 0.500 1
Ru1 Ru 0.500 0.500 0.500 1
# D(E_F): 4.31 states/eV/f.u.
# Crystal system: tetragonal
# Energy of formation from the pure elements: 1428 meV per atom
# VASP energy: -4.965 eV per atom

Entry 6:
# PBE Ga2SbPRu, relaxed
data_Ga2SbPRu
_chemical_formula_sum 'Ga2 Sb1 P1 Ru1'
_cell_length_a 4.548
_cell_length_b 4.548
_cell_length_c 5.315
_cell_angle_alpha 90.00
_cell_angle_beta 90.00
_cell_angle_gamma 90.00
_space_group_name_H-M_alt 'P 4/m m m'
_space_group_IT_number 123
_space_group_name_Hall '-P 4 2'
loop_
_atom_site_label
_atom_site_type_symbol
_atom_site_fract_x
_atom_site_fract_y
_atom_site_fract_z
_atom_site_occupancy
Ga1 Ga 0.000 0.500 0.000 1
Sb1 Sb 0.000 0.000 0.500 1
P1 P 0.000 0.000 0.000 1
Ru1 Ru 0.500 0.500 0.500 1
# D(E_F): 4.12 states/eV/f.u.
# ΔE_f (raw): 0.894 eV per atom
# Crystal system: tetragonal
# VASP energy: -4.079 eV per atom

Entry 7:
# PBE YSiNO2, relaxed
data_YSiNO2
_chemical_formula_sum 'Y1 Si1 N1 O2'
_cell_length_a 3.617
_cell_length_b 3.617
_cell_length_c 3.716
_cell_angle_alpha 90.00
_cell_angle_beta 90.00
_cell_angle_gamma 90.00
_space_group_name_H-M_alt 'P 4/m m m'
_space_group_IT_number 123
_space_group_name_Hall '-P 4 2'
loop_
_atom_site_label
_atom_site_type_symbol
_atom_site_fract_x
_atom_site_fract_y
_atom_site_fract_z
_atom_site_occupancy
Y1 Y 0.000 0.000 0.000 1
Si1 Si 0.500 0.500 0.500 1
N1 N 0.500 0.500 0.000 1
O1 O 0.000 0.500 0.500 1
# D(E_F): 0.00 states/eV/f.u.
# ΔE_f (raw): -2.234 eV per atom
# Crystal system: tetragonal
# VASP energy: -8.260 eV per atom

Entry 8:
# PBE RbTl3Fe, relaxed
data_RbTl3Fe
_chemical_formula_sum 'Rb1 Tl3 Fe1'
_cell_length_a 6.325
_cell_length_b 6.325
_cell_length_c 6.325
_cell_angle_alpha 90.00
_cell_angle_beta 90.00
_cell_angle_gamma 90.00
_space_group_name_H-M_alt 'P m -3 m'
_space_group_IT_number 221
_space_group_name_Hall '-P 4 2 3'
loop_
_atom_site_label
_atom_site_type_symbol
_atom_site_fract_x
_atom_site_fract_y
_atom_site_fract_z
_atom_site_occupancy
Rb1 Rb 0.000 0.000 0.000 1
Tl1 Tl 0.000 0.000 0.500 1
Fe1 Fe 0.500 0.500 0.500 1
# D(E_F): 13.43 states/eV/f.u.
# Crystal system: cubic
# Energy of formation from the pure elements: 1456 meV per atom
# VASP energy: -1.850 eV per atom

Entry 9:
# PBE K2TbThS4, relaxed
data_K2TbThS4
_chemical_formula_sum 'K2 Tb1 Th1 S4'
_cell_length_a 7.083
_cell_length_b 4.089
_cell_length_c 7.790
_cell_angle_alpha 90.00
_cell_angle_beta 107.52
_cell_angle_gamma 90.00
_space_group_name_H-M_alt 'P 1 2/m 1'
_space_group_IT_number 10
loop_
_space_group_symop_operation_xyz
'x,y,z'
'-x,-y,-z'
'-x,y,-z'
'x,-y,z'
loop_
_atom_site_label
_atom_site_type_symbol
_atom_site_fract_x
_atom_site_fract_y
_atom_site_fract_z
_atom_site_occupancy
K1 K 0.000 0.000 0.000 1
K2 K 0.500 0.500 0.000 1
Tb1 Tb 0.000 0.500 0.500 1
Th1 Th 0.500 0.000 0.500 1
S1 S 0.234 0.000 0.706 1
S2 S 0.259 0.500 0.289 1
# D(E_F): 4.25 states/eV/f.u.
# ΔE_f (raw): -1.774 eV per atom
# Crystal system: monoclinic
# VASP energy: -5.618 eV per atom

Entry 10:
# PBE Os2RhSe, relaxed
data_Os2RhSe
_chemical_formula_sum 'Os4 Rh2 Se2'
_cell_length_a 9.202
_cell_length_b 2.832
_cell_length_c 4.821
_cell_angle_alpha 90.00
_cell_angle_beta 106.39
_cell_angle_gamma 90.00
_space_group_name_H-M_alt 'C 1 2/m 1'
_space_group_IT_number 12
loop_
_space_group_symop_operation_xyz
'x,y,z'
'-x,-y,-z'
'-x,y,-z'
'x,-y,z'
'x+1/2,y+1/2,z'
'-x+1/2,-y+1/2,-z'
'-x+1/2,y+1/2,-z'
'x+1/2,-y+1/2,z'
loop_
_atom_site_label
_atom_site_type_symbol
_atom_site_fract_x
_atom_site_fract_y
_atom_site_fract_z
_atom_site_occupancy
Os1 Os 0.236 0.000 0.264 1
Rh1 Rh 0.000 0.000 0.500 1
Se1 Se 0.000 0.500 0.000 1
# D(E_F): 3.87 states/eV/f.u.
# ΔE_f (raw): 0.537 eV per atom
# Crystal system: monoclinic
# VASP energy: -7.787 eV per atom

Entry 11:
# PBE BaCaFe2, relaxed
data_BaCaFe2
_chemical_formula_sum 'Ba4 Ca4 Fe8'
_cell_length_a 7.229
_cell_length_b 7.229
_cell_length_c 7.229
_cell_angle_alpha 90.00
_cell_angle_beta 90.00
_cell_angle_gamma 90.00
_space_group_name_H-M_alt 'F -4 3 m'
_space_group_IT_number 216
_space_group_name_Hall 'F -4 2 3'
loop_
_atom_site_label
_atom_site_type_symbol
_atom_site_fract_x
_atom_site_fract_y
_atom_site_fract_z
_atom_site_occupancy
Ba1 Ba 0.000 0.000 0.000 1
Ca1 Ca 0.250 0.250 0.250 1
Fe1 Fe 0.000 0.000 0.500 1
Fe2 Fe 0.250 0.250 0.750 1
# D(E_F): 5.26 states/eV/f.u.
# Crystal system: cubic
# Energy of formation from the pure elements: 868 meV per atom
# VASP energy: -4.345 eV per atom